[1]
First-principles (meta-GGA SCAN) data for a PBEsol-optimized structure of Al2CdIr, as listed in the Alexandria database.

Total moment = 0.00 μB per cell
Energy = -29.594 eV/atom
ρ = 9.77 Mg/m³

```
4
Lattice="-0.200 1.853 -2.346 -4.194 -1.459 -0.795 -1.637 3.230 2.690" Properties=species:S:1:pos:R:3 pbc="T T T"
Ir -3.015 1.812 -0.225
Al -2.097 -0.729 -0.397
Al -0.818 1.615 1.345
Cd -0.100 0.926 -1.173
```

[2]
First-principles (meta-GGA SCAN) data for a PBEsol-optimized structure of SrGa3I, as listed in the Alexandria database.

Total moment = 0.00 μB per cell
Energy = -21.198 eV/atom
ρ = 3.86 Mg/m³

```
5
Lattice="5.672 0.000 0.000 0.000 5.672 0.000 0.000 0.000 5.672" Properties=species:S:1:pos:R:3 pbc="T T T"
I 0.000 0.000 0.000
Sr 2.836 2.836 2.836
Ga 0.000 2.836 0.000
Ga 0.000 0.000 2.836
Ga 2.836 0.000 0.000
```

[3]
First-principles (meta-GGA SCAN) data for a PBEsol-optimized structure of BaMgW2, as listed in the Alexandria database.

Total moment = 1.37 μB per cell
Energy = -44.559 eV/atom
ρ = 10.72 Mg/m³

```
4
Lattice="4.877 0.000 0.000 2.438 4.223 0.000 2.438 1.408 3.982" Properties=species:S:1:pos:R:3 pbc="T T T"
Ba 4.877 2.816 1.991
Mg 2.438 1.408 0.995
W 0.000 0.000 0.000
W 7.315 4.223 2.986
```

[4]
First-principles (meta-GGA SCAN) data for a PBEsol-optimized structure of K3Hg, as listed in the Alexandria database.

Total moment = 0.00 μB per cell
Energy = -23.359 eV/atom
ρ = 2.95 Mg/m³

```
4
Lattice="6.328 0.000 0.000 3.164 5.480 0.000 3.164 1.827 5.167" Properties=species:S:1:pos:R:3 pbc="T T T"
K 3.164 1.827 1.292
K 6.328 3.653 2.583
K 9.492 5.480 3.875
Hg 0.000 0.000 0.000
```

[5]
First-principles (meta-GGA SCAN) data for a PBEsol-optimized structure of HoO3, as listed in the Alexandria database.

Total moment = 0.00 μB per cell
Energy = -18.580 eV/atom
ρ = 8.63 Mg/m³

```
8
Lattice="-1.412 3.454 -2.556 -2.774 1.360 3.371 4.282 1.589 -0.219" Properties=species:S:1:pos:R:3 pbc="T T T"
Ho 0.871 4.103 -0.939
Ho -0.775 2.300 1.536
O 1.383 3.038 1.341
O 0.688 1.679 -0.111
O 2.661 2.412 -0.212
O -1.287 3.365 -0.744
O -0.592 4.724 0.708
O -2.565 3.992 0.809
```

[6]
First-principles (meta-GGA SCAN) data for a PBEsol-optimized structure of FeReRh2, as listed in the Alexandria database.

Total moment = 2.50 μB per cell
Energy = -39.282 eV/atom
ρ = 14.19 Mg/m³
Polymorph energy (0 for the lowest one) = 61 meV/atom

```
4
Lattice="-1.036 2.241 1.026 -1.298 -2.151 3.388 4.037 0.898 2.116" Properties=species:S:1:pos:R:3 pbc="T T T"
Re -0.289 0.240 2.667
Rh 0.176 0.039 0.092
Rh 2.183 -0.446 3.179
Fe 1.651 1.603 1.650
```

[7]
First-principles (meta-GGA SCAN) data for a PBEsol-optimized structure of Zr6Co16Ge7, as listed in the Alexandria database.

Total moment = 9.97 μB per cell
Energy = -20.953 eV/atom
ρ = 8.92 Mg/m³

```
29
Lattice="-4.825 6.471 0.085 -7.531 -0.618 2.840 -1.967 3.477 7.015" Properties=species:S:1:pos:R:3 pbc="T T T"
Zr -6.198 5.410 2.955
Zr -9.304 5.155 4.126
Zr -8.125 3.920 6.984
Zr -5.019 4.175 5.813
Zr -7.009 6.844 5.848
Zr -7.314 2.486 4.091
Co -5.620 0.809 2.668
Co -10.231 7.360 8.890
Co -12.591 8.202 8.737
Co -4.715 3.072 3.272
Co -9.607 6.259 6.667
Co -2.329 3.267 2.372
Co -11.994 6.063 7.567
Co -1.732 1.128 1.202
Co -11.136 8.309 6.694
Co -8.703 8.521 7.271
Co -4.223 4.469 1.246
Co -11.575 6.407 5.115
Co -10.100 4.861 8.693
Co -3.186 1.021 3.245
Co -2.747 2.923 4.823
Co -4.092 1.970 1.049
Ge -3.396 4.974 3.550
Ge -6.178 2.927 1.462
Ge 0.000 0.000 0.000
Ge -0.983 1.739 3.507
Ge -3.766 -0.309 1.420
Ge -2.413 3.235 0.042
Ge -4.749 1.430 4.927
```

[8]
First-principles (meta-GGA SCAN) data for a PBEsol-optimized structure of Sc2TaCd, as listed in the Alexandria database.

Total moment = 0.00 μB per cell
Energy = -31.279 eV/atom
ρ = 7.76 Mg/m³

```
4
Lattice="3.152 0.000 0.000 0.000 4.990 0.000 -1.576 -2.495 5.212" Properties=species:S:1:pos:R:3 pbc="T T T"
Cd 0.000 2.495 2.523
Sc 1.576 2.495 5.044
Sc 1.576 0.000 2.751
Ta 1.576 2.495 0.107
```

[9]
First-principles (meta-GGA SCAN) data for a PBEsol-optimized structure of TiHgTe2N, as listed in the Alexandria database.

Total moment = 3.62 μB per cell
Energy = -32.586 eV/atom
ρ = 6.84 Mg/m³

```
5
Lattice="3.964 0.000 0.000 0.000 5.629 0.000 0.000 0.000 5.629" Properties=species:S:1:pos:R:3 pbc="T T T"
N 1.982 0.000 0.000
Te 0.000 0.000 2.814
Te 0.000 2.814 0.000
Hg 0.000 0.000 0.000
Ti 1.982 2.814 2.814
```

[10]
First-principles (meta-GGA SCAN) data for a PBEsol-optimized structure of TlW2Au, as listed in the Alexandria database.

Total moment = 0.00 μB per cell
Energy = -69.305 eV/atom
ρ = 18.52 Mg/m³
Polymorph energy (0 for the lowest one) = 93 meV/atom

```
4
Lattice="-0.641 -2.696 -0.561 2.392 -0.831 1.258 -4.162 -0.579 7.532" Properties=species:S:1:pos:R:3 pbc="T T T"
Au 0.876 -1.763 0.348
Tl -1.205 -2.053 4.114
W -3.181 -0.443 5.757
W -0.981 -0.136 1.775
```

[11]
First-principles (meta-GGA SCAN) data for a PBEsol-optimized structure of CdPd2Se2, as listed in the Alexandria database.

Total moment = 0.00 μB per cell
Energy = -27.274 eV/atom
ρ = 8.18 Mg/m³

```
5
Lattice="-1.195 -3.393 1.704 2.334 0.753 3.135 -5.225 4.338 0.322" Properties=species:S:1:pos:R:3 pbc="T T T"
Se -3.514 2.277 2.070
Se -0.572 -0.580 3.092
Pd -1.161 1.885 2.939
Pd -2.926 -0.188 2.223
Cd 0.000 0.000 0.000
```

[12]
First-principles (meta-GGA SCAN) data for a PBEsol-optimized structure of Ni2AsOs, as listed in the Alexandria database.

Total moment = 0.00 μB per cell
Energy = -30.962 eV/atom
ρ = 12.81 Mg/m³

```
4
Lattice="-2.725 -0.520 0.412 2.225 -1.413 3.385 -0.623 4.221 1.209" Properties=species:S:1:pos:R:3 pbc="T T T"
As -1.078 -0.101 2.292
Ni -1.123 2.236 4.948
Ni -0.054 2.453 2.745
Os -1.668 1.837 0.837
```

[13]
First-principles (meta-GGA SCAN) data for a PBEsol-optimized structure of K2RbLiBe, as listed in the Alexandria database.

Total moment = 0.00 μB per cell
Energy = -7.742 eV/atom
ρ = 0.88 Mg/m³

```
5
Lattice="-4.990 -2.892 -2.258 -1.341 -2.899 6.676 -4.174 5.867 1.710" Properties=species:S:1:pos:R:3 pbc="T T T"
Be -5.253 0.038 3.064
K -2.087 2.934 0.855
K -0.670 -1.450 3.338
Rb 0.000 0.000 0.000
Li -2.495 -1.446 -1.129
```

[14]
First-principles (meta-GGA SCAN) data for a PBEsol-optimized structure of Be2Au2S, as listed in the Alexandria database.

Total moment = 0.00 μB per cell
Energy = -31.270 eV/atom
ρ = 10.73 Mg/m³

```
10
Lattice="2.752 0.000 0.000 0.000 7.066 0.000 0.000 0.000 7.066" Properties=species:S:1:pos:R:3 pbc="T T T"
Be 1.376 1.016 4.549
Be 1.376 4.549 6.051
Be 1.376 6.051 2.517
Be 1.376 2.517 1.016
S 0.000 0.000 0.000
S 0.000 3.533 3.533
Au 0.000 2.487 6.020
Au 0.000 6.020 4.579
Au 0.000 4.579 1.046
Au 0.000 1.046 2.487
```

[15]
First-principles (meta-GGA SCAN) data for a PBEsol-optimized structure of Pt2RhW, as listed in the Alexandria database.

Total moment = 0.00 μB per cell
Energy = -61.264 eV/atom
ρ = 19.25 Mg/m³
Polymorph energy (0 for the lowest one) = 0 meV/atom

```
4
Lattice="-1.211 3.399 -1.424 -3.612 -1.392 -0.253 1.678 0.244 4.439" Properties=species:S:1:pos:R:3 pbc="T T T"
Rh 0.000 0.000 0.000
W -2.172 -0.073 1.674
Pt -2.411 1.003 -0.839
Pt -0.972 2.323 1.088
```

[16]
First-principles (meta-GGA SCAN) data for a PBEsol-optimized structure of HOsO2, as listed in the Alexandria database.

Total moment = 1.98 μB per cell
Energy = -21.881 eV/atom
ρ = 11.22 Mg/m³

```
8
Lattice="-0.545 -3.549 -2.229 4.232 2.127 -0.415 3.216 -1.795 2.073" Properties=species:S:1:pos:R:3 pbc="T T T"
H 2.784 -0.272 -0.246
H 1.335 -2.672 -0.078
Os 4.119 -2.945 -0.324
Os 0.000 0.000 0.000
O 5.873 -0.722 1.034
O 4.086 -0.993 -0.737
O 1.530 -1.177 -0.503
O 2.317 -3.542 -0.935
```

[17]
First-principles (meta-GGA SCAN) data for a PBEsol-optimized structure of SrH2I2O, as listed in the Alexandria database.

Total moment = 0.00 μB per cell
Energy = -19.652 eV/atom
ρ = 4.57 Mg/m³

```
24
Lattice="-0.449 2.206 -3.803 -8.848 2.828 2.684 4.772 9.973 5.222" Properties=species:S:1:pos:R:3 pbc="T T T"
H -5.465 6.456 3.105
H -2.360 3.857 -1.336
H 0.940 8.551 0.997
H -2.165 11.150 5.439
H -6.920 6.873 3.519
H -3.775 4.357 -0.879
H 2.395 8.134 0.584
H -0.750 10.650 4.982
I -0.665 1.885 -0.112
I -3.888 7.382 0.889
I -3.860 13.122 4.215
I -0.637 7.626 3.214
I -5.268 3.432 1.328
I 0.294 5.969 -0.424
I 0.743 11.575 2.774
I -4.819 9.038 4.527
O -6.411 6.165 3.048
O -2.813 4.595 -0.854
O 1.886 8.843 1.055
O -1.712 10.412 4.957
Sr -7.190 6.079 0.523
Sr -2.010 4.673 1.664
Sr 2.665 8.928 3.580
Sr -2.515 10.334 2.439
```

[18]
First-principles (meta-GGA SCAN) data for a PBEsol-optimized structure of Ti5CuSn3, as listed in the Alexandria database.

Total moment = 0.00 μB per cell
Energy = -23.007 eV/atom
ρ = 7.02 Mg/m³

```
18
Lattice="-1.340 -3.223 4.215 7.718 0.048 2.490 -5.161 5.652 2.681" Properties=species:S:1:pos:R:3 pbc="T T T"
Ti -4.788 1.726 5.126
Ti -1.713 0.704 1.770
Ti 4.652 -2.382 4.987
Ti 1.726 -0.793 1.719
Ti -0.322 -0.895 4.542
Ti 1.539 3.372 4.844
Ti -0.868 3.784 2.618
Ti 3.425 1.916 2.554
Ti 2.755 0.304 4.661
Ti -1.538 2.172 4.725
Cu 0.000 0.000 0.000
Cu -0.670 -1.612 2.107
Sn -2.987 -0.247 4.191
Sn -3.514 2.676 2.705
Sn 1.959 -2.399 4.117
Sn 4.419 -0.776 2.588
Sn 0.570 1.094 6.347
Sn 0.647 1.383 3.040
```

[19]
First-principles (meta-GGA SCAN) data for a PBEsol-optimized structure of YAg3, as listed in the Alexandria database.

Total moment = 0.00 μB per cell
Energy = -30.760 eV/atom
ρ = 8.88 Mg/m³

```
8
Lattice="5.364 0.000 0.000 0.000 5.364 0.000 0.000 0.000 5.364" Properties=species:S:1:pos:R:3 pbc="T T T"
Y 0.000 0.000 0.000
Y 2.682 2.682 2.682
Ag 0.000 1.341 2.682
Ag 0.000 4.023 2.682
Ag 1.341 2.682 0.000
Ag 2.682 0.000 1.341
Ag 2.682 0.000 4.023
Ag 4.023 2.682 0.000
```

[20]
First-principles (meta-GGA SCAN) data for a PBEsol-optimized structure of GeBrF2, as listed in the Alexandria database.

Total moment = 0.00 μB per cell
Energy = -12.310 eV/atom
ρ = 4.64 Mg/m³

```
4
Lattice="-1.577 -2.132 1.111 0.210 -2.656 -1.080 6.532 -3.550 6.177" Properties=species:S:1:pos:R:3 pbc="T T T"
Ge 0.000 0.000 0.000
Br 2.583 -4.169 3.104
F -0.064 -5.153 1.180
F 5.230 -3.186 5.028
```